1.
## PmErTm (PBE)

Data for a geometry-optimized PmErTm structure.

Values from the calculation:
Energy above the lowest structure with this stoichiometry ... 188 meV/atom

abc: 4.8181 4.8181 8.5868
angles: 90.00 90.00 90.00
Element x y z (fractional)
Pm  0.2500  0.2500  0.1945
Pm  0.7500  0.7500  0.8055
Er  0.2500  0.7500  0.5000
Er  0.7500  0.2500  0.5000
Tm  0.2500  0.2500  0.7944
Tm  0.7500  0.7500  0.2056

2.
## Zn3SbF (PBE)

Data for a geometry-optimized Zn3SbF structure.

Values from the calculation:
E_form (uncorrected) ... 0.014 eV/atom
Energy above the lowest structure with this stoichiometry ... 243 meV/atom

abc: 5.3321 5.3321 5.3321
angles: 90.00 90.00 90.00
Element x y z (fractional)
Zn  0.0000  0.0000  0.5000
Zn  0.0000  0.5000  0.0000
Zn  0.5000  0.0000  0.0000
Sb  0.0000  0.0000  0.0000
F  0.5000  0.5000  0.5000

3.
## AlCd3In (PBE)

Data for a geometry-optimized AlCd3In structure.

Values from the calculation:
Energy above the lowest structure with this stoichiometry ... 269 meV/atom

abc: 5.4813 5.4813 5.4813
angles: 90.00 90.00 90.00
Element x y z (fractional)
Al  0.0000  0.0000  0.0000
Cd  0.0000  0.5000  0.5000
Cd  0.5000  0.0000  0.5000
Cd  0.5000  0.5000  0.0000
In  0.5000  0.5000  0.5000

4.
## RbCu2Se6S2 (PBE)

Data for a geometry-optimized RbCu2Se6S2 structure.

Values from the calculation:
E_form (uncorrected) ... -0.153 eV/atom

abc: 7.0626 7.2827 7.7818
angles: 69.87 69.50 65.45
Element x y z (fractional)
Rb  0.0000  0.0000  0.0000
Cu  0.0026  0.7058  0.6047
Cu  0.9974  0.2942  0.3953
Se  0.1466  0.4316  0.0664
Se  0.2066  0.9233  0.3762
Se  0.2542  0.3882  0.4975
Se  0.7458  0.6118  0.5025
Se  0.7934  0.0767  0.6238
Se  0.8534  0.5684  0.9336
S  0.4261  0.1841  0.7195
S  0.5739  0.8159  0.2805

5.
## Ga3AuS (PBE)

Data for a geometry-optimized Ga3AuS structure.

Values from the calculation:
E_form (uncorrected) ... 0.062 eV/atom
Energy above the lowest structure with this stoichiometry ... 0 meV/atom

abc: 4.9165 4.9165 4.9165
angles: 90.00 90.00 90.00
Element x y z (fractional)
Ga  0.0000  0.0000  0.5000
Ga  0.0000  0.5000  0.0000
Ga  0.5000  0.0000  0.0000
Au  0.0000  0.0000  0.0000
S  0.5000  0.5000  0.5000

6.
## NbPPbCl2 (PBE)

Data for a geometry-optimized NbPPbCl2 structure.

Values from the calculation:
E_form (uncorrected) ... -0.270 eV/atom
Energy above the lowest structure with this stoichiometry ... 0 meV/atom

abc: 4.9949 4.9949 5.1195
angles: 90.00 90.00 90.00
Element x y z (fractional)
Nb  0.0000  0.0000  0.0000
P  0.0000  0.0000  0.5000
Pb  0.5000  0.5000  0.5000
Cl  0.0000  0.5000  0.0000
Cl  0.5000  0.0000  0.0000

7.
## LaInAg (PBE)

Data for a geometry-optimized LaInAg structure.

abc: 6.0518 6.0518 7.7095
angles: 126.19 126.19 47.94
Element x y z (fractional)
La  0.0351  0.0351  0.2952
La  0.9649  0.9649  0.7048
In  0.3333  0.3333  0.8859
In  0.6667  0.6667  0.1141
Ag  0.3364  0.3364  0.2923
Ag  0.6636  0.6636  0.7077

8.
## ThB4Os (PBE)

Data for a geometry-optimized ThB4Os structure.

abc: 6.0902 11.8099 3.6950
angles: 90.00 90.00 90.00
Element x y z (fractional)
Th  0.1280  0.1493  0.0000
Th  0.3720  0.6493  0.0000
Th  0.6280  0.3507  0.0000
Th  0.8720  0.8507  0.0000
B  0.0277  0.6888  0.5000
B  0.1102  0.5445  0.5000
B  0.1409  0.9676  0.5000
B  0.2164  0.8142  0.5000
B  0.2836  0.3142  0.5000
B  0.3591  0.4676  0.5000
B  0.3898  0.0445  0.5000
B  0.4723  0.1888  0.5000
B  0.5277  0.8112  0.5000
B  0.6102  0.9555  0.5000
B  0.6409  0.5324  0.5000
B  0.7164  0.6858  0.5000
B  0.7836  0.1858  0.5000
B  0.8591  0.0324  0.5000
B  0.8898  0.4555  0.5000
B  0.9723  0.3112  0.5000
Os  0.1399  0.4046  0.0000
Os  0.3601  0.9046  0.0000
Os  0.6399  0.0954  0.0000
Os  0.8601  0.5954  0.0000

Theoretical density / g/cm3: 8.02 3.69 4.83 3.76 6.12 5.23 7.51 11.63
Size of the total moment / μB per formula unit: 0.0 0.0 0.0 0.0 0.0 0.5 0.0 0.0
DFT total energy / eV/atom: -4.382 -1.949 -1.270 -3.637 -3.235 -4.847 -3.928 -8.091